First-principles (PBE) data for an optimized crystal structure of HoEr12Co6, as listed in Alexandria via LeMat-Bulk.

Properties
DFT total energy	-5.52	eV/atom
energy of formation from the pure elements	-0.155	eV/atom
calculated volume	452.4	Å³/cell
mass density	9.3	g cm⁻³

a = 8.3760 Å, b = 8.3760 Å, c = 8.3760 Å
α = 109.47°, β = 109.47°, γ = 109.47°
Closest atoms and distances in Å follow each position.
Fractional positions:
Ho: 0.0000 0.0000 0.0000  12 Er 3.52
Er: 0.3084 0.1148 0.8064  3 Co 2.63-2.86
Er: 0.3084 0.5020 0.1936  3 Co 2.63-2.86
Er: 0.6916 0.4980 0.8064  3 Co 2.63-2.86
Er: 0.6916 0.8852 0.1936  3 Co 2.63-2.86
Er: 0.1148 0.8064 0.3084  3 Co 2.63-2.86
Er: 0.5020 0.1936 0.3084  3 Co 2.63-2.86
Er: 0.4980 0.8064 0.6916  3 Co 2.63-2.86
Er: 0.8852 0.1936 0.6916  3 Co 2.63-2.86
Er: 0.8064 0.3084 0.1148  3 Co 2.63-2.86
Er: 0.1936 0.3084 0.5020  3 Co 2.63-2.86
Er: 0.8064 0.6916 0.4980  3 Co 2.63-2.86
Er: 0.1936 0.6916 0.8852  3 Co 2.63-2.86
Co: 0.3859 0.5000 0.8859  1 Co 2.21
Co: 0.6141 0.5000 0.1141  1 Co 2.21
Co: 0.5000 0.8859 0.3859  1 Co 2.21
Co: 0.5000 0.1141 0.6141  1 Co 2.21
Co: 0.8859 0.3859 0.5000  1 Co 2.21
Co: 0.1141 0.6141 0.5000  1 Co 2.21



First-principles (PBE) data for an optimized crystal structure of Cu2AgSb, as listed in Alexandria via LeMat-Bulk.

Properties
DFT total energy	-3.61	eV/atom
uncorrected formation energy	0.71	eV per formula unit
calculated volume	74.0	Å³/cell
mass density	8.0	g cm⁻³

a = 4.3846 Å, b = 4.3846 Å, c = 5.1165 Å
α = 64.63°, β = 64.63°, γ = 60.00°
Closest atoms and distances in Å follow each position.
Fractional positions:
Cu: 0.0713 0.0713 0.7862  1 Cu 2.61, 3 Sb 2.64, 3 Ag 2.72
Cu: 0.2666 0.2666 0.2002  1 Cu 2.61, 3 Sb 2.76, 1 Ag 2.84
Ag: 0.4794 0.4794 0.5618  1 Sb 2.71, 7 Cu 2.72-3.00
Sb: 0.6828 0.6828 0.9518  6 Cu 2.64-2.76, 1 Ag 2.71



First-principles (PBE) data for an optimized crystal structure of Tb2NdTmSb4, as listed in Alexandria via LeMat-Bulk.

Properties
DFT total energy	-5.50	eV/atom
uncorrected formation energy	-9.05	eV per formula unit
calculated volume	244.0	Å³/cell
mass density	7.6	g cm⁻³

a = 4.4212 Å, b = 7.6539 Å, c = 7.6497 Å
α = 70.51°, β = 90.00°, γ = 90.00°
Closest atoms and distances in Å follow each position.
Fractional positions:
Tb: 0.0000 0.0000 0.0000  6 Sb 3.14
Tb: 0.5000 0.0000 0.5000  6 Sb 3.09
Nd: 0.5000 0.5000 0.0000  6 Sb 3.16
Tm: 0.0000 0.5000 0.5000  6 Sb 3.11
Sb: 0.0000 0.7537 0.7432  3 Tb 3.09-3.14, 1 Tm 3.11, 2 Nd 3.16
Sb: 0.0000 0.2463 0.2568  3 Tb 3.09-3.14, 1 Tm 3.11, 2 Nd 3.16
Sb: 0.5000 0.7496 0.2557  3 Tb 3.09-3.14, 2 Tm 3.11, 1 Nd 3.16
Sb: 0.5000 0.2504 0.7443  3 Tb 3.09-3.14, 2 Tm 3.11, 1 Nd 3.16



First-principles (PBE) data for an optimized crystal structure of Li2ZnH, as listed in Alexandria via LeMat-Bulk.

Properties
DFT total energy	-2.21	eV/atom
calculated volume	106.9	Å³/cell
mass density	2.5	g cm⁻³

a = 5.6598 Å, b = 5.6598 Å, c = 5.2103 Å
α = 57.10°, β = 57.10°, γ = 90.00°
Closest atoms and distances in Å follow each position.
Fractional positions:
H: 0.5000 0.5000 0.0000  4 Li 1.76
H: 0.2500 0.7500 0.5000  4 Li 1.76
Zn: 0.0000 0.0000 0.0000  8 Li 2.75-2.94
Zn: 0.7500 0.2500 0.5000  8 Li 2.75-2.94
Li: 0.4845 0.1250 0.2500  2 H 1.76
Li: 0.2655 0.6250 0.2500  2 H 1.76
Li: 0.3750 0.5155 0.7500  2 H 1.76
Li: 0.8750 0.7345 0.7500  2 H 1.76



First-principles (PBE) data for an optimized crystal structure of KMnCr2, as listed in Alexandria via LeMat-Bulk.

Properties
DFT total energy	-6.39	eV/atom
energy of formation from the pure elements	0.989	eV/atom
calculated volume	62.9	Å³/cell
mass density	5.2	g cm⁻³

a = 2.6251 Å, b = 2.6251 Å, c = 9.7133 Å
α = 90.00°, β = 90.00°, γ = 109.99°
Closest atoms and distances in Å follow each position.
Fractional positions:
Cr: 0.0000 0.0000 0.9362  2 Mn 2.35, 4 Cr 2.63
Cr: 0.0000 0.0000 0.5638  2 Mn 2.35, 4 Cr 2.63
K: 0.5000 0.5000 0.2500  4 K 2.63
Mn: 0.5000 0.5000 0.7500  4 Cr 2.35, 4 Mn 2.63



First-principles (PBE) data for an optimized crystal structure of Sr3ScTl, as listed in Alexandria via LeMat-Bulk.

Properties
DFT total energy	-2.39	eV/atom
energy of formation from the pure elements	0.357	eV/atom
calculated volume	251.0	Å³/cell
mass density	3.4	g cm⁻³

a = 6.3079 Å, b = 6.3079 Å, c = 6.3079 Å
α = 90.00°, β = 90.00°, γ = 90.00°
Closest atoms and distances in Å follow each position.
Fractional positions:
Sc: 0.5000 0.5000 0.5000  12 Sr 4.46
Sr: 0.0000 0.5000 0.0000  2 Tl 3.15
Sr: 0.0000 0.0000 0.5000  2 Tl 3.15
Sr: 0.5000 0.0000 0.0000  2 Tl 3.15
Tl: 0.0000 0.0000 0.0000  6 Sr 3.15